1.
Here is Zn2Ag2Hg at its PBEsol-relaxed geometry from the Alexandria database. Energies are from SCAN.

Properties
DOS(E_F) = 0.241 states/eV/atom
calculated total energy = -31.515 eV/atom
space-group type = P4/mbm, No. 127
energy relative to the lowest polymorph listed for this composition = 0 meV per atom
V = 168 Å³/cell

Cell lengths 3.0177, 7.4674, 7.4674 Å; angles 90.00, 90.00, 90.00 degrees
Sites, in units of the cell vectors:
Zn 0.5000 0.3395 0.1605
Zn 0.5000 0.6605 0.8395
Zn 0.5000 0.8395 0.3395
Zn 0.5000 0.1605 0.6605
Hg 0.0000 0.0000 0.0000
Hg 0.0000 0.5000 0.5000
Ag 0.0000 0.6366 0.1366
Ag 0.0000 0.8634 0.6366
Ag 0.0000 0.3634 0.8634
Ag 0.0000 0.1366 0.3634



2.
Here is ZnAg2Hg at its PBEsol-relaxed geometry from the Alexandria database. Energies are from SCAN.

Properties
DOS(E_F) = 0.273 states/eV/atom
calculated total energy = -36.058 eV/atom
space-group type = Imm2, No. 44
energy relative to the lowest polymorph listed for this composition = 13 meV per atom
V = 68 Å³/cell

Cell lengths 3.8864, 4.1485, 5.0766 Å; angles 114.12, 112.51, 90.00 degrees
Sites, in units of the cell vectors:
Ag 0.9934 0.9934 0.9867
Ag 0.7492 0.2492 0.4984
Hg 0.5052 0.5052 0.0103
Zn 0.2523 0.7523 0.5045



3.
Here is Zn2Ag2Hg at its PBEsol-relaxed geometry from the Alexandria database. Energies are from SCAN.

Properties
DOS(E_F) = 0.275 states/eV/atom
calculated total energy = -31.510 eV/atom
space-group type = I4/mmm, No. 139
energy relative to the lowest polymorph listed for this composition = 5 meV per atom
V = 87 Å³/cell

Cell lengths 3.5893, 3.5893, 7.2301 Å; angles 104.37, 104.37, 90.00 degrees
Sites, in units of the cell vectors:
Hg 0.0000 0.0000 0.0000
Ag 0.3963 0.3963 0.7925
Ag 0.6037 0.6037 0.2075
Zn 0.7500 0.2500 0.5000
Zn 0.2500 0.7500 0.5000



- Among the records above, which one has the highest DOS(E_F)?
  number 3



- Among the records above, which one has the lowest calculated total energy?
  ZnAg2Hg



- calculated total energy of number 2 (ZnAg2Hg)?
  -36.058 eV/atom